(1)
Crystalline Sr2TeClO4 at its relaxed geometry. Source: Alexandria, functional PBE.

Summary:
energy = -43.346 eV/cell
symmetry = No. 12

a b c (Å): 3.5230 5.0335 9.2395
angles (deg): 79.70 79.01 69.52
Element x y z (fractional)
O1 0.6172 0.7224 0.0433
O2 0.1382 0.9359 0.7878
O3 0.8618 0.0641 0.2122
O4 0.3828 0.2776 0.9567
Cl1 0.5000 0.5000 0.5000
Sr1 0.8293 0.5864 0.7550
Sr2 0.1707 0.4136 0.2450
Te1 0.0000 0.0000 0.0000


(2)
Crystalline SrTiCl2O at its relaxed geometry. Source: Alexandria, functional PBE.

Summary:
energy = -21.970 eV/cell
symmetry = No. 123

a b c (Å): 5.5533 4.4685 5.5533
angles (deg): 90.00 90.00 90.00
Element x y z (fractional)
Cl1 0.5000 0.0000 0.0000
Cl2 0.0000 0.0000 0.5000
Sr1 0.0000 0.0000 0.0000
O1 0.0000 0.5000 0.0000
Ti1 0.5000 0.5000 0.5000


Number 1: ΔE_f (raw) -182.9 kJ per mole of atoms, Fermi-level density of states 0.188 states/eV/atom. Number 2: ΔE_f (raw) -72.2 kJ per mole of atoms, Fermi-level density of states 2.335 states/eV/atom.